1.
Mn2VFeC | the Alexandria database | PBE-GGA | relaxed; calculated formation energy = -0.077 eV/atom; theoretical density = 7.2 g/cm3; space group = No. 123
1.0
3.762 0.000 0.000
0.000 3.762 0.000
0.000 0.000 3.702
Mn V Fe C
2 1 1 1
Cartesian
0.000 1.881 0.000
1.881 0.000 0.000
0.000 0.000 1.851
1.881 1.881 1.851
1.881 1.881 0.000

2.
MnVFe2C | the Alexandria database | PBE-GGA | relaxed; calculated formation energy = -0.058 eV/atom; theoretical density = 7.4 g/cm3; space group = No. 123
1.0
3.701 0.000 0.000
0.000 3.701 0.000
0.000 0.000 3.782
Mn V Fe C
1 1 2 1
Cartesian
0.000 0.000 0.000
1.850 1.850 0.000
0.000 1.850 1.891
1.850 0.000 1.891
0.000 0.000 1.891

3.
Mn2FeWC | the Alexandria database | PBE-GGA | relaxed; calculated formation energy = 0.030 eV/atom; theoretical density = 11.2 g/cm3; space group = No. 123
1.0
3.799 0.000 0.000
0.000 3.799 0.000
0.000 0.000 3.725
Mn Fe W C
2 1 1 1
Cartesian
0.000 1.899 0.000
1.899 0.000 0.000
0.000 0.000 1.862
1.899 1.899 1.862
0.000 0.000 0.000

4.
YMnFeC2 | the Alexandria database | PBE-GGA | relaxed; calculated formation energy = -0.196 eV/atom; theoretical density = 6.4 g/cm3; space group = No. 119
1.0
3.496 0.000 0.000
0.000 3.496 0.000
0.000 0.000 9.566
Y Mn Fe C
2 2 2 4
Cartesian
0.000 0.000 0.000
1.748 1.748 4.783
0.000 1.748 7.174
1.748 0.000 2.391
0.000 1.748 2.391
1.748 0.000 7.174
0.000 0.000 3.229
0.000 0.000 6.337
1.748 1.748 1.554
1.748 1.748 8.012